RuPb2Cl: relaxed, PBE-GGA.

The value obtained for the formation energy without anion corrections is 0.07 eV/atom. As for the magnetization: 0.0000 μB/atom. The energy above the lowest structure with this stoichiometry is 51.6 meV/atom.

The structure belongs to space group Pmm2 (No. 25); the cell edges are 3.4326, 4.2933 and 7.4048 Å and the angles 90.00°, 90.00° and 90.00°. The asymmetric unit holds Ru at (0.0000, 0.0000, 0.0000), Pb at (0.0000, 0.0000, 0.6413), Pb at (0.5000, 0.5000, 0.0311) and Cl at (0.5000, 0.5000, 0.4798).